Arrangement A

This record from Alexandria describes an optimized crystal structure of K2TlCd2. The functional is PBE.

Cell: 5.204 5.204 15.096 Å, 90.00 90.00 90.00°
Space group I4/mmm (No. 139)
One atom of each set of equivalent atoms:
K (0.000, 0.500, 0.250)
Tl (0.000, 0.000, 0.000)
Cd (0.000, 0.000, 0.407)

Summary:
DOS at the Fermi energy: 10.23 states/eV per cell
spin magnetization: 0.00 μB per formula unit

***

Arrangement B

This record from Alexandria describes an optimized crystal structure of K2TlCd2. The functional is PBE.

Cell: 11.570 6.906 9.394 Å, 90.00 102.34 90.00°
Space group C2/c (No. 15)
One atom of each set of equivalent atoms:
K (0.151, 0.129, 0.151)
Tl (0.000, 0.372, 0.750)
Cd (0.132, 0.361, 0.499)

Summary:
DOS at the Fermi energy: 16.37 states/eV per cell
spin magnetization: 0.00 μB per formula unit

***

Energy ordering: arrangement B at the bottom, the next structure 24.8 kJ/mol of atoms above.

***

Arrangement A

This record from Alexandria describes an optimized crystal structure of KTl4Cd. The functional is PBE.

Cell: 8.887 4.949 8.894 Å, 90.00 90.00 90.00°
Space group Pmma (No. 51)
One atom of each set of equivalent atoms:
K (0.250, 0.000, 0.129)
Tl (0.000, 0.000, 0.500)
Tl (0.053, 0.500, 0.814)
Tl (0.250, 0.500, 0.445)
Cd (0.250, 0.000, 0.736)

Summary:
DOS at the Fermi energy: 5.04 states/eV per cell
spin magnetization: 0.00 μB per formula unit

***

Arrangement B

This record from Alexandria describes an optimized crystal structure of KTl4Cd. The functional is PBE.

Cell: 9.322 9.322 9.322 Å, 90.00 90.00 90.00°
Space group F-43m (No. 216)
One atom of each set of equivalent atoms:
K (0.000, 0.000, 0.000)
Tl (0.125, 0.125, 0.625)
Cd (0.250, 0.250, 0.250)

Summary:
DOS at the Fermi energy: 11.40 states/eV per cell
spin magnetization: 0.00 μB per formula unit

***

Energy ordering: arrangement A at the bottom, the next structure 8.1 kJ/mol of atoms above.

***

Arrangement A

This record from Alexandria describes an optimized crystal structure of K2Tl5Cd. The functional is PBE.

Cell: 7.421 7.421 5.687 Å, 90.00 90.00 90.00°
Space group P4/mmm (No. 123)
One atom of each set of equivalent atoms:
K (0.000, 0.500, 0.000)
Tl (0.000, 0.000, 0.000)
Tl (0.289, 0.289, 0.500)
Cd (0.000, 0.000, 0.500)

Summary:
DOS at the Fermi energy: 5.29 states/eV per cell
spin magnetization: 0.00 μB per formula unit

***

Arrangement B

This record from Alexandria describes an optimized crystal structure of K2Tl5Cd. The functional is PBE.

Cell: 5.205 19.487 11.161 Å, 90.00 90.00 90.00°
Space group Cmcm (No. 63)
One atom of each set of equivalent atoms:
K (0.000, 0.000, 0.000)
K (0.000, 0.199, 0.250)
Tl (0.000, 0.191, 0.606)
Tl (0.000, 0.354, 0.531)
Tl (0.000, 0.401, 0.250)
Cd (0.000, 0.446, 0.750)

Summary:
DOS at the Fermi energy: 18.34 states/eV per cell
spin magnetization: 0.00 μB per formula unit

***

Energy ordering: arrangement B at the bottom, the next structure 11.8 kJ/mol of atoms above.

***

Arrangement A

This record from Alexandria describes an optimized crystal structure of KTl8Cd2. The functional is PBE.

Cell: 6.449 6.449 10.460 Å, 90.00 90.00 90.00°
Space group P4/mmm (No. 123)
One atom of each set of equivalent atoms:
K (0.000, 0.000, 0.000)
Tl (0.252, 0.252, 0.286)
Cd (0.000, 0.500, 0.500)

Summary:
DOS at the Fermi energy: 5.12 states/eV per cell
spin magnetization: 0.00 μB per formula unit

***

Arrangement B

This record from Alexandria describes an optimized crystal structure of KTl8Cd2. The functional is PBE.

Cell: 17.436 6.547 6.028 Å, 90.00 94.41 90.00°
Space group C2/m (No. 12)
One atom of each set of equivalent atoms:
K (0.000, 0.000, 0.000)
Tl (0.098, 0.500, 0.028)
Tl (0.099, 0.249, 0.545)
Tl (0.210, 0.000, 0.118)
Cd (0.242, 0.500, 0.372)

Summary:
DOS at the Fermi energy: 9.26 states/eV per cell
spin magnetization: 0.00 μB per formula unit

***

Energy ordering: arrangement B at the bottom, the next structure 12.6 kJ/mol of atoms above.